1.
# CsHfNF2 meta-GGA SCAN single point on PBEsol structure
# - calculated volume (Å³/cell) = 80.02
# - uncorrected formation energy (meV per atom) = -2385
# - M_tot (μB per cell) = 0.00
data_CsHfNF2
_chemical_formula_sum 'Cs1 Hf1 N1 F2'
_space_group_name_H-M_alt 'P 4/m m m'
_space_group_IT_number 123
_space_group_name_Hall '-P 4 2'
_cell_length_a 4.403
_cell_length_b 4.403
_cell_length_c 4.128
_cell_angle_alpha 90.00
_cell_angle_beta 90.00
_cell_angle_gamma 90.00
loop_
_atom_site_label
_atom_site_type_symbol
_atom_site_fract_x
_atom_site_fract_y
_atom_site_fract_z
Cs1 Cs 0.000 0.000 0.000
Hf1 Hf 0.500 0.500 0.500
N1 N 0.500 0.500 0.000
F1 F 0.000 0.500 0.500


2.
# CsHfN2F meta-GGA SCAN single point on PBEsol structure
# - calculated volume (Å³/cell) = 80.31
# - uncorrected formation energy (meV per atom) = -1169
# - N(E_F) (states/eV/cell) = 2.28
# - M_tot (μB per cell) = 2.00
data_CsHfN2F
_chemical_formula_sum 'Cs1 Hf1 N2 F1'
_space_group_name_H-M_alt 'P 4/m m m'
_space_group_IT_number 123
_space_group_name_Hall '-P 4 2'
_cell_length_a 4.236
_cell_length_b 4.236
_cell_length_c 4.476
_cell_angle_alpha 90.00
_cell_angle_beta 90.00
_cell_angle_gamma 90.00
loop_
_atom_site_label
_atom_site_type_symbol
_atom_site_fract_x
_atom_site_fract_y
_atom_site_fract_z
Cs1 Cs 0.000 0.000 0.000
Hf1 Hf 0.500 0.500 0.500
N1 N 0.000 0.500 0.500
F1 F 0.500 0.500 0.000


3.
# CsHgF2 meta-GGA SCAN single point on PBEsol structure
# - calculated volume (Å³/cell) = 434.67
# - uncorrected formation energy (meV per atom) = -1747
# - N(E_F) (states/eV/cell) = 2.17
# - M_tot (μB per cell) = 0.00
data_CsHgF2
_chemical_formula_sum 'Cs4 Hg4 F8'
_space_group_name_H-M_alt 'I -4 2 d'
_space_group_IT_number 122
_space_group_name_Hall 'I -4 2bw'
_cell_length_a 6.279
_cell_length_b 6.279
_cell_length_c 11.025
_cell_angle_alpha 90.00
_cell_angle_beta 90.00
_cell_angle_gamma 90.00
loop_
_atom_site_label
_atom_site_type_symbol
_atom_site_fract_x
_atom_site_fract_y
_atom_site_fract_z
Cs1 Cs 0.000 0.000 0.000
Hg1 Hg 0.000 0.000 0.500
F1 F 0.191 0.250 0.625


4.
# Cs2HgF4 meta-GGA SCAN single point on PBEsol structure
# - calculated volume (Å³/cell) = 307.84
# - uncorrected formation energy (meV per atom) = -2338
# - N(E_F) (states/eV/cell) = 0.00
# - M_tot (μB per cell) = 0.00
data_Cs2HgF4
_chemical_formula_sum 'Cs4 Hg2 F8'
_space_group_name_H-M_alt 'I 4/m m m'
_space_group_IT_number 139
_space_group_name_Hall '-I 4 2'
_cell_length_a 4.636
_cell_length_b 4.636
_cell_length_c 14.322
_cell_angle_alpha 90.00
_cell_angle_beta 90.00
_cell_angle_gamma 90.00
loop_
_atom_site_label
_atom_site_type_symbol
_atom_site_fract_x
_atom_site_fract_y
_atom_site_fract_z
Cs1 Cs 0.000 0.000 0.142
Hg1 Hg 0.000 0.000 0.500
F1 F 0.000 0.000 0.343
F2 F 0.000 0.500 0.000


5.
# Cs2MnHgF meta-GGA SCAN single point on PBEsol structure
# - calculated volume (Å³/cell) = 242.42
# - uncorrected formation energy (meV per atom) = -255
# - N(E_F) (states/eV/cell) = 3.66
# - M_tot (μB per cell) = 5.71
data_Cs2MnHgF
_chemical_formula_sum 'Cs2 Mn1 Hg1 F1'
_space_group_name_H-M_alt 'P 4/m m m'
_space_group_IT_number 123
_space_group_name_Hall '-P 4 2'
_cell_length_a 6.919
_cell_length_b 6.919
_cell_length_c 5.063
_cell_angle_alpha 90.00
_cell_angle_beta 90.00
_cell_angle_gamma 90.00
loop_
_atom_site_label
_atom_site_type_symbol
_atom_site_fract_x
_atom_site_fract_y
_atom_site_fract_z
Cs1 Cs 0.000 0.500 0.000
Mn1 Mn 0.000 0.000 0.500
Hg1 Hg 0.500 0.500 0.000
F1 F 0.500 0.500 0.500


6.
# Cs2HgPdF6 meta-GGA SCAN single point on PBEsol structure
# - calculated volume (Å³/cell) = 710.04
# - uncorrected formation energy (meV per atom) = -2080
# - N(E_F) (states/eV/cell) = 6.26
# - M_tot (μB per cell) = 7.60
data_Cs2HgPdF6
_chemical_formula_sum 'Cs8 Hg4 Pd4 F24'
_space_group_name_H-M_alt 'F m -3 m'
_space_group_IT_number 225
_space_group_name_Hall '-F 4 2 3'
_cell_length_a 8.921
_cell_length_b 8.921
_cell_length_c 8.921
_cell_angle_alpha 90.00
_cell_angle_beta 90.00
_cell_angle_gamma 90.00
loop_
_atom_site_label
_atom_site_type_symbol
_atom_site_fract_x
_atom_site_fract_y
_atom_site_fract_z
Cs1 Cs 0.250 0.250 0.250
Hg1 Hg 0.000 0.000 0.000
Pd1 Pd 0.000 0.000 0.500
F1 F 0.000 0.000 0.266


7.
# Cs2IF meta-GGA SCAN single point on PBEsol structure
# - calculated volume (Å³/cell) = 667.68
# - uncorrected formation energy (meV per atom) = -2221
# - N(E_F) (states/eV/cell) = 0.00
# - M_tot (μB per cell) = 0.00
data_Cs2IF
_chemical_formula_sum 'Cs8 I4 F4'
_space_group_name_H-M_alt 'I -4 2 d'
_space_group_IT_number 122
_space_group_name_Hall 'I -4 2bw'
_cell_length_a 8.563
_cell_length_b 8.563
_cell_length_c 9.106
_cell_angle_alpha 90.00
_cell_angle_beta 90.00
_cell_angle_gamma 90.00
loop_
_atom_site_label
_atom_site_type_symbol
_atom_site_fract_x
_atom_site_fract_y
_atom_site_fract_z
Cs1 Cs 0.160 0.750 0.125
I1 I 0.000 0.000 0.500
F1 F 0.000 0.000 0.000


8.
# CsPPbI2F6 meta-GGA SCAN single point on PBEsol structure
# - calculated volume (Å³/cell) = 319.47
# - uncorrected formation energy (meV per atom) = -2251
# - N(E_F) (states/eV/cell) = 0.00
# - M_tot (μB per cell) = 0.00
data_CsPPbI2F6
_chemical_formula_sum 'Cs1 P1 Pb1 I2 F6'
_space_group_name_H-M_alt 'P 4/m m m'
_space_group_IT_number 123
_space_group_name_Hall '-P 4 2'
_cell_length_a 6.161
_cell_length_b 6.161
_cell_length_c 8.417
_cell_angle_alpha 90.00
_cell_angle_beta 90.00
_cell_angle_gamma 90.00
loop_
_atom_site_label
_atom_site_type_symbol
_atom_site_fract_x
_atom_site_fract_y
_atom_site_fract_z
Cs1 Cs 0.000 0.000 0.000
P1 P 0.500 0.500 0.000
Pb1 Pb 0.500 0.500 0.500
I1 I 0.000 0.500 0.500
F1 F 0.236 0.500 0.000
F2 F 0.500 0.500 0.195


9.
# Cs2PtIF meta-GGA SCAN single point on PBEsol structure
# - calculated volume (Å³/cell) = 245.89
# - uncorrected formation energy (meV per atom) = -855
# - N(E_F) (states/eV/cell) = 5.83
# - M_tot (μB per cell) = 0.07
data_Cs2PtIF
_chemical_formula_sum 'Cs2 Pt1 I1 F1'
_space_group_name_H-M_alt 'P 4/m m m'
_space_group_IT_number 123
_space_group_name_Hall '-P 4 2'
_cell_length_a 7.074
_cell_length_b 7.074
_cell_length_c 4.914
_cell_angle_alpha 90.00
_cell_angle_beta 90.00
_cell_angle_gamma 90.00
loop_
_atom_site_label
_atom_site_type_symbol
_atom_site_fract_x
_atom_site_fract_y
_atom_site_fract_z
Cs1 Cs 0.000 0.500 0.000
Pt1 Pt 0.000 0.000 0.500
I1 I 0.000 0.000 0.000
F1 F 0.500 0.500 0.500


10.
# CsSb2IF meta-GGA SCAN single point on PBEsol structure
# - calculated volume (Å³/cell) = 437.85
# - uncorrected formation energy (meV per atom) = 716
# - N(E_F) (states/eV/cell) = 16.52
# - M_tot (μB per cell) = 6.05
data_CsSb2IF
_chemical_formula_sum 'Cs1 Sb2 I1 F1'
_space_group_name_H-M_alt 'P 4/m m m'
_space_group_IT_number 123
_space_group_name_Hall '-P 4 2'
_cell_length_a 7.948
_cell_length_b 7.948
_cell_length_c 6.931
_cell_angle_alpha 90.00
_cell_angle_beta 90.00
_cell_angle_gamma 90.00
loop_
_atom_site_label
_atom_site_type_symbol
_atom_site_fract_x
_atom_site_fract_y
_atom_site_fract_z
Cs1 Cs 0.000 0.000 0.000
Sb1 Sb 0.000 0.500 0.000
I1 I 0.000 0.000 0.500
F1 F 0.500 0.500 0.500


11.
# CsInF3 meta-GGA SCAN single point on PBEsol structure
# - calculated volume (Å³/cell) = 772.43
# - uncorrected formation energy (meV per atom) = -2674
# - N(E_F) (states/eV/cell) = 0.00
# - M_tot (μB per cell) = 0.00
data_CsInF3
_chemical_formula_sum 'Cs8 In8 F24'
_space_group_name_H-M_alt 'C m c e'
_space_group_IT_number 64
_space_group_name_Hall '-C 2ac 2'
_cell_length_a 8.697
_cell_length_b 15.456
_cell_length_c 5.746
_cell_angle_alpha 90.00
_cell_angle_beta 90.00
_cell_angle_gamma 90.00
loop_
_atom_site_label
_atom_site_type_symbol
_atom_site_fract_x
_atom_site_fract_y
_atom_site_fract_z
Cs1 Cs 0.250 0.176 0.250
In1 In 0.000 0.047 0.705
F1 F 0.000 0.079 0.066
F2 F 0.000 0.181 0.627
F3 F 0.250 0.064 0.750


12.
# Cs2InSbF6 meta-GGA SCAN single point on PBEsol structure
# - calculated volume (Å³/cell) = 862.46
# - uncorrected formation energy (meV per atom) = -2467
# - N(E_F) (states/eV/cell) = 0.00
# - M_tot (μB per cell) = 0.00
data_Cs2InSbF6
_chemical_formula_sum 'Cs8 In4 Sb4 F24'
_space_group_name_H-M_alt 'F m -3 m'
_space_group_IT_number 225
_space_group_name_Hall '-F 4 2 3'
_cell_length_a 9.519
_cell_length_b 9.519
_cell_length_c 9.519
_cell_angle_alpha 90.00
_cell_angle_beta 90.00
_cell_angle_gamma 90.00
loop_
_atom_site_label
_atom_site_type_symbol
_atom_site_fract_x
_atom_site_fract_y
_atom_site_fract_z
Cs1 Cs 0.250 0.250 0.250
In1 In 0.000 0.000 0.000
Sb1 Sb 0.000 0.000 0.500
F1 F 0.000 0.000 0.270


13.
# Cs2ScInF6 meta-GGA SCAN single point on PBEsol structure
# - calculated volume (Å³/cell) = 791.01
# - uncorrected formation energy (meV per atom) = -3258
# - N(E_F) (states/eV/cell) = 0.00
# - M_tot (μB per cell) = 0.00
data_Cs2ScInF6
_chemical_formula_sum 'Cs8 Sc4 In4 F24'
_space_group_name_H-M_alt 'F m -3 m'
_space_group_IT_number 225
_space_group_name_Hall '-F 4 2 3'
_cell_length_a 9.248
_cell_length_b 9.248
_cell_length_c 9.248
_cell_angle_alpha 90.00
_cell_angle_beta 90.00
_cell_angle_gamma 90.00
loop_
_atom_site_label
_atom_site_type_symbol
_atom_site_fract_x
_atom_site_fract_y
_atom_site_fract_z
Cs1 Cs 0.250 0.250 0.250
Sc1 Sc 0.000 0.000 0.000
In1 In 0.000 0.000 0.500
F1 F 0.000 0.000 0.218


14.
# Cs2TlInF6 meta-GGA SCAN single point on PBEsol structure
# - calculated volume (Å³/cell) = 831.63
# - uncorrected formation energy (meV per atom) = -2705
# - N(E_F) (states/eV/cell) = 0.00
# - M_tot (μB per cell) = 0.00
data_Cs2TlInF6
_chemical_formula_sum 'Cs8 Tl4 In4 F24'
_space_group_name_H-M_alt 'F m -3 m'
_space_group_IT_number 225
_space_group_name_Hall '-F 4 2 3'
_cell_length_a 9.404
_cell_length_b 9.404
_cell_length_c 9.404
_cell_angle_alpha 90.00
_cell_angle_beta 90.00
_cell_angle_gamma 90.00
loop_
_atom_site_label
_atom_site_type_symbol
_atom_site_fract_x
_atom_site_fract_y
_atom_site_fract_z
Cs1 Cs 0.250 0.250 0.250
Tl1 Tl 0.000 0.000 0.000
In1 In 0.000 0.000 0.500
F1 F 0.000 0.000 0.278


15.
# Cs2YInF6 meta-GGA SCAN single point on PBEsol structure
# - calculated volume (Å³/cell) = 858.49
# - uncorrected formation energy (meV per atom) = -3269
# - N(E_F) (states/eV/cell) = 0.00
# - M_tot (μB per cell) = 0.00
data_Cs2YInF6
_chemical_formula_sum 'Cs8 Y4 In4 F24'
_space_group_name_H-M_alt 'F m -3 m'
_space_group_IT_number 225
_space_group_name_Hall '-F 4 2 3'
_cell_length_a 9.504
_cell_length_b 9.504
_cell_length_c 9.504
_cell_angle_alpha 90.00
_cell_angle_beta 90.00
_cell_angle_gamma 90.00
loop_
_atom_site_label
_atom_site_type_symbol
_atom_site_fract_x
_atom_site_fract_y
_atom_site_fract_z
Cs1 Cs 0.250 0.250 0.250
Y1 Y 0.000 0.000 0.000
In1 In 0.000 0.000 0.500
F1 F 0.000 0.000 0.227


16.
# CsIrNF2 meta-GGA SCAN single point on PBEsol structure
# - calculated volume (Å³/cell) = 79.26
# - uncorrected formation energy (meV per atom) = -1029
# - N(E_F) (states/eV/cell) = 2.04
# - M_tot (μB per cell) = 0.00
data_CsIrNF2
_chemical_formula_sum 'Cs1 Ir1 N1 F2'
_space_group_name_H-M_alt 'P 4/m m m'
_space_group_IT_number 123
_space_group_name_Hall '-P 4 2'
_cell_length_a 4.635
_cell_length_b 4.635
_cell_length_c 3.690
_cell_angle_alpha 90.00
_cell_angle_beta 90.00
_cell_angle_gamma 90.00
loop_
_atom_site_label
_atom_site_type_symbol
_atom_site_fract_x
_atom_site_fract_y
_atom_site_fract_z
Cs1 Cs 0.000 0.000 0.000
Ir1 Ir 0.500 0.500 0.500
N1 N 0.500 0.500 0.000
F1 F 0.000 0.500 0.500


17.
# CsIrO2F meta-GGA SCAN single point on PBEsol structure
# - calculated volume (Å³/cell) = 95.33
# - uncorrected formation energy (meV per atom) = 1297
# - N(E_F) (states/eV/cell) = 6.32
# - M_tot (μB per cell) = 2.58
data_CsIrO2F
_chemical_formula_sum 'Cs1 Ir1 O2 F1'
_space_group_name_H-M_alt 'P 4/m m m'
_space_group_IT_number 123
_space_group_name_Hall '-P 4 2'
_cell_length_a 4.316
_cell_length_b 4.316
_cell_length_c 5.118
_cell_angle_alpha 90.00
_cell_angle_beta 90.00
_cell_angle_gamma 90.00
loop_
_atom_site_label
_atom_site_type_symbol
_atom_site_fract_x
_atom_site_fract_y
_atom_site_fract_z
Cs1 Cs 0.000 0.000 0.000
Ir1 Ir 0.500 0.500 0.500
O1 O 0.000 0.500 0.000
F1 F 0.000 0.000 0.500


18.
# CsRb2IrF6 meta-GGA SCAN single point on PBEsol structure
# - calculated volume (Å³/cell) = 831.19
# - uncorrected formation energy (meV per atom) = -2372
# - N(E_F) (states/eV/cell) = 0.00
# - M_tot (μB per cell) = 0.70
data_CsRb2IrF6
_chemical_formula_sum 'Cs4 Rb8 Ir4 F24'
_space_group_name_H-M_alt 'F m -3 m'
_space_group_IT_number 225
_space_group_name_Hall '-F 4 2 3'
_cell_length_a 9.402
_cell_length_b 9.402
_cell_length_c 9.402
_cell_angle_alpha 90.00
_cell_angle_beta 90.00
_cell_angle_gamma 90.00
loop_
_atom_site_label
_atom_site_type_symbol
_atom_site_fract_x
_atom_site_fract_y
_atom_site_fract_z
Cs1 Cs 0.000 0.000 0.000
Rb1 Rb 0.250 0.250 0.250
Ir1 Ir 0.000 0.000 0.500
F1 F 0.000 0.000 0.286


19.
# Cs2RbIrF6 meta-GGA SCAN single point on PBEsol structure
# - calculated volume (Å³/cell) = 786.47
# - uncorrected formation energy (meV per atom) = -2477
# - N(E_F) (states/eV/cell) = 0.00
# - M_tot (μB per cell) = 0.71
data_Cs2RbIrF6
_chemical_formula_sum 'Cs8 Rb4 Ir4 F24'
_space_group_name_H-M_alt 'F m -3 m'
_space_group_IT_number 225
_space_group_name_Hall '-F 4 2 3'
_cell_length_a 9.231
_cell_length_b 9.231
_cell_length_c 9.231
_cell_angle_alpha 90.00
_cell_angle_beta 90.00
_cell_angle_gamma 90.00
loop_
_atom_site_label
_atom_site_type_symbol
_atom_site_fract_x
_atom_site_fract_y
_atom_site_fract_z
Cs1 Cs 0.250 0.250 0.250
Rb1 Rb 0.000 0.000 0.000
Ir1 Ir 0.000 0.000 0.500
F1 F 0.000 0.000 0.282


20.
# Cs2KF meta-GGA SCAN single point on PBEsol structure
# - calculated volume (Å³/cell) = 1039.89
# - uncorrected formation energy (meV per atom) = -1368
# - N(E_F) (states/eV/cell) = 6.30
# - M_tot (μB per cell) = 0.01
data_Cs2KF
_chemical_formula_sum 'Cs8 K4 F4'
_space_group_name_H-M_alt 'I -4 2 d'
_space_group_IT_number 122
_space_group_name_Hall 'I -4 2bw'
_cell_length_a 9.049
_cell_length_b 9.049
_cell_length_c 12.699
_cell_angle_alpha 90.00
_cell_angle_beta 90.00
_cell_angle_gamma 90.00
loop_
_atom_site_label
_atom_site_type_symbol
_atom_site_fract_x
_atom_site_fract_y
_atom_site_fract_z
Cs1 Cs 0.039 0.750 0.125
K1 K 0.000 0.000 0.500
F1 F 0.000 0.000 0.000